[1]
! GdGa2Co | Alexandria via LeMat-Bulk | PBEsol | optimized geometry; values from VASP
! DOS(E_F): 0.815 states/eV/atom
! Symmetry: Cmmm (65)
! Formation energy: -575 meV/atom
&SYSTEM
  ibrav = 0, nat = 16, ntyp = 3
/
ATOMIC_SPECIES
Gd 157.25 Gd.upf
Ga 69.72 Ga.upf
Co 58.93 Co.upf
ATOMIC_POSITIONS crystal
Gd 0.0000 0.1413 0.0000
Gd 0.0000 0.8587 0.0000
Gd 0.5000 0.3587 0.0000
Gd 0.5000 0.6413 0.0000
Ga 0.0000 0.0000 0.5000
Ga 0.0000 0.2913 0.5000
Ga 0.0000 0.5000 0.0000
Ga 0.0000 0.7087 0.5000
Ga 0.5000 0.0000 0.0000
Ga 0.5000 0.2087 0.5000
Ga 0.5000 0.5000 0.5000
Ga 0.5000 0.7913 0.5000
Co 0.0000 0.4250 0.5000
Co 0.0000 0.5750 0.5000
Co 0.5000 0.0750 0.5000
Co 0.5000 0.9250 0.5000
CELL_PARAMETERS angstrom
4.0628 0.0000 0.0000
0.0000 17.6269 0.0000
0.0000 0.0000 3.9106

[2]
! Mg14AlZnO16 | Alexandria via LeMat-Bulk | PBEsol | optimized geometry; values from VASP
! DOS(E_F): 0.001 states/eV/atom
! E: -6.156 eV per atom
! Symmetry: Pmmm (47)
&SYSTEM
  ibrav = 0, nat = 32, ntyp = 4
/
ATOMIC_SPECIES
Mg 24.30 Mg.upf
Al 26.98 Al.upf
Zn 65.41 Zn.upf
O 16.00 O.upf
ATOMIC_POSITIONS crystal
Mg 0.0000 0.0000 0.0000
Mg 0.0000 0.0000 0.5000
Mg 0.0000 0.2502 0.2472
Mg 0.0000 0.2502 0.7528
Mg 0.0000 0.7498 0.2472
Mg 0.0000 0.7498 0.7528
Mg 0.5000 0.0000 0.2487
Mg 0.5000 0.0000 0.7513
Mg 0.5000 0.2496 0.0000
Mg 0.5000 0.2496 0.5000
Mg 0.5000 0.5000 0.2481
Mg 0.5000 0.5000 0.7519
Mg 0.5000 0.7504 0.0000
Mg 0.5000 0.7504 0.5000
Al 0.0000 0.5000 0.5000
Zn 0.0000 0.5000 0.0000
O 0.0000 0.0000 0.2566
O 0.0000 0.0000 0.7434
O 0.0000 0.2359 0.0000
O 0.0000 0.2633 0.5000
O 0.0000 0.5000 0.2841
O 0.0000 0.5000 0.7159
O 0.0000 0.7367 0.5000
O 0.0000 0.7641 0.0000
O 0.5000 0.0000 0.0000
O 0.5000 0.0000 0.5000
O 0.5000 0.2508 0.2513
O 0.5000 0.2508 0.7487
O 0.5000 0.5000 0.0000
O 0.5000 0.5000 0.5000
O 0.5000 0.7492 0.2513
O 0.5000 0.7492 0.7487
CELL_PARAMETERS angstrom
4.2157 0.0000 0.0000
0.0000 8.4915 0.0000
0.0000 0.0000 8.5296

[3]
! AlMoPt2 | Alexandria via LeMat-Bulk | PBEsol | optimized geometry; values from VASP
! DOS(E_F): 0.776 states/eV/atom
! Symmetry: C2/m (12)
! Formation energy: -370 meV/atom
&SYSTEM
  ibrav = 0, nat = 8, ntyp = 3
/
ATOMIC_SPECIES
Al 26.98 Al.upf
Mo 95.94 Mo.upf
Pt 195.08 Pt.upf
ATOMIC_POSITIONS crystal
Al 0.0000 0.0000 0.0000
Al 0.5000 0.5000 0.0000
Mo 0.0000 0.5000 0.5000
Mo 0.5000 0.0000 0.5000
Pt 0.2454 0.5000 0.2511
Pt 0.2546 0.0000 0.7489
Pt 0.7454 0.0000 0.2511
Pt 0.7546 0.5000 0.7489
CELL_PARAMETERS angstrom
9.0007 0.0000 0.0000
0.0000 2.7648 0.0000
-0.8476 0.0000 4.7597

[4]
! LaBeHg | Alexandria via LeMat-Bulk | PBEsol | optimized geometry; values from VASP
! DOS(E_F): 0.942 states/eV/atom
! Symmetry: I4mm (107)
! Formation energy: -12 meV/atom
&SYSTEM
  ibrav = 0, nat = 6, ntyp = 3
/
ATOMIC_SPECIES
La 138.91 La.upf
Be 9.01 Be.upf
Hg 200.59 Hg.upf
ATOMIC_POSITIONS crystal
La 0.0000 0.0000 0.0000
La 0.5000 0.5000 0.5000
Be 0.0000 0.0000 0.3142
Be 0.5000 0.5000 0.8142
Hg 0.0000 0.0000 0.7110
Hg 0.5000 0.5000 0.2110
CELL_PARAMETERS angstrom
3.2634 0.0000 0.0000
0.0000 3.2634 0.0000
0.0000 0.0000 11.5902

[5]
! Sc2TlMo | Alexandria via LeMat-Bulk | PBEsol | optimized geometry; values from VASP
! DOS(E_F): 0.964 states/eV/atom
! Symmetry: R-3m (166)
! Formation energy: 263 meV/atom
&SYSTEM
  ibrav = 0, nat = 12, ntyp = 3
/
ATOMIC_SPECIES
Sc 44.96 Sc.upf
Tl 204.38 Tl.upf
Mo 95.94 Mo.upf
ATOMIC_POSITIONS crystal
Sc 0.0000 0.0000 0.1020
Sc 0.0000 0.0000 0.8980
Sc 0.3333 0.6667 0.5647
Sc 0.3333 0.6667 0.7686
Sc 0.6667 0.3333 0.2314
Sc 0.6667 0.3333 0.4353
Tl 0.0000 0.0000 0.0000
Tl 0.3333 0.6667 0.6667
Tl 0.6667 0.3333 0.3333
Mo 0.0000 0.0000 0.5000
Mo 0.3333 0.6667 0.1667
Mo 0.6667 0.3333 0.8333
CELL_PARAMETERS angstrom
3.2443 0.0000 0.0000
-1.6221 2.8096 0.0000
0.0000 0.0000 29.9835

[6]
! Ta3SnMo | Alexandria via LeMat-Bulk | PBEsol | optimized geometry; values from VASP
! DOS(E_F): 0.418 states/eV/atom
! Symmetry: Pm-3m (221)
! Formation energy: 1239 meV/atom
&SYSTEM
  ibrav = 0, nat = 5, ntyp = 3
/
ATOMIC_SPECIES
Ta 180.95 Ta.upf
Sn 118.71 Sn.upf
Mo 95.94 Mo.upf
ATOMIC_POSITIONS crystal
Ta 0.0000 0.0000 0.5000
Ta 0.0000 0.5000 0.0000
Ta 0.5000 0.0000 0.0000
Sn 0.5000 0.5000 0.5000
Mo 0.0000 0.0000 0.0000
CELL_PARAMETERS angstrom
4.7820 0.0000 0.0000
0.0000 4.7820 0.0000
0.0000 0.0000 4.7820

[7]
! ScMnOs2 | Alexandria via LeMat-Bulk | PBEsol | optimized geometry; values from VASP
! DOS(E_F): 0.898 states/eV/atom
! Symmetry: Cm (8)
! Formation energy: 35 meV/atom
&SYSTEM
  ibrav = 0, nat = 8, ntyp = 3
/
ATOMIC_SPECIES
Sc 44.96 Sc.upf
Mn 54.94 Mn.upf
Os 190.23 Os.upf
ATOMIC_POSITIONS crystal
Sc 0.0000 0.0000 0.0000
Sc 0.5000 0.5000 0.0000
Mn 0.2599 0.5000 0.2616
Mn 0.7599 0.0000 0.2616
Os 0.2408 0.0000 0.7423
Os 0.4984 0.0000 0.4980
Os 0.7408 0.5000 0.7423
Os 0.9984 0.5000 0.4980
CELL_PARAMETERS angstrom
9.8824 0.0000 0.0000
0.0000 3.0397 0.0000
-1.8904 0.0000 3.8908

[8]
! Mg2AlSi | Alexandria via LeMat-Bulk | PBEsol | optimized geometry; values from VASP
! DOS(E_F): 0.517 states/eV/atom
! E: -3.229 eV per atom
! Symmetry: P4mm (99)
&SYSTEM
  ibrav = 0, nat = 4, ntyp = 3
/
ATOMIC_SPECIES
Mg 24.30 Mg.upf
Al 26.98 Al.upf
Si 28.09 Si.upf
ATOMIC_POSITIONS crystal
Mg 0.0000 0.0000 0.0000
Mg 0.5000 0.5000 0.3085
Al 0.5000 0.5000 0.7376
Si 0.0000 0.0000 0.5515
CELL_PARAMETERS angstrom
3.2746 0.0000 0.0000
0.0000 3.2746 0.0000
0.0000 0.0000 7.0295

[9]
! FeCuPt2 | Alexandria via LeMat-Bulk | PBEsol | optimized geometry; values from VASP
! DOS(E_F): 0.731 states/eV/atom
! Symmetry: C2/m (12)
! Formation energy: -108 meV/atom
&SYSTEM
  ibrav = 0, nat = 8, ntyp = 3
/
ATOMIC_SPECIES
Fe 55.84 Fe.upf
Cu 63.55 Cu.upf
Pt 195.08 Pt.upf
ATOMIC_POSITIONS crystal
Fe 0.0000 0.0000 0.0000
Fe 0.5000 0.5000 0.0000
Cu 0.0000 0.5000 0.5000
Cu 0.5000 0.0000 0.5000
Pt 0.2490 0.5000 0.2494
Pt 0.2510 0.0000 0.7506
Pt 0.7490 0.0000 0.2494
Pt 0.7510 0.5000 0.7506
CELL_PARAMETERS angstrom
8.6368 0.0000 0.0000
0.0000 2.6936 0.0000
-0.8434 0.0000 4.6246

[10]
! NbGe3Mo | Alexandria via LeMat-Bulk | PBEsol | optimized geometry; values from VASP
! DOS(E_F): 1.367 states/eV/atom
! Symmetry: Pm-3m (221)
! Formation energy: 1007 meV/atom
&SYSTEM
  ibrav = 0, nat = 5, ntyp = 3
/
ATOMIC_SPECIES
Nb 92.91 Nb.upf
Ge 72.64 Ge.upf
Mo 95.94 Mo.upf
ATOMIC_POSITIONS crystal
Nb 0.0000 0.0000 0.0000
Ge 0.0000 0.5000 0.5000
Ge 0.5000 0.0000 0.5000
Ge 0.5000 0.5000 0.0000
Mo 0.5000 0.5000 0.5000
CELL_PARAMETERS angstrom
4.7586 0.0000 0.0000
0.0000 4.7586 0.0000
0.0000 0.0000 4.7586

[11]
! Co3MoI | Alexandria via LeMat-Bulk | PBEsol | optimized geometry; values from VASP
! DOS(E_F): 1.451 states/eV/atom
! E: -5.801 eV per atom
! Symmetry: Pm-3m (221)
&SYSTEM
  ibrav = 0, nat = 5, ntyp = 3
/
ATOMIC_SPECIES
Co 58.93 Co.upf
Mo 95.94 Mo.upf
I 126.90 I.upf
ATOMIC_POSITIONS crystal
Co 0.0000 0.0000 0.5000
Co 0.0000 0.5000 0.0000
Co 0.5000 0.0000 0.0000
Mo 0.0000 0.0000 0.0000
I 0.5000 0.5000 0.5000
CELL_PARAMETERS angstrom
4.4156 0.0000 0.0000
0.0000 4.4156 0.0000
0.0000 0.0000 4.4156

[12]
! AsPb5 | Alexandria via LeMat-Bulk | PBEsol | optimized geometry; values from VASP
! DOS(E_F): 0.523 states/eV/atom
! Symmetry: Cmmm (65)
! Formation energy: 77 meV/atom
&SYSTEM
  ibrav = 0, nat = 12, ntyp = 2
/
ATOMIC_SPECIES
As 74.92 As.upf
Pb 207.20 Pb.upf
ATOMIC_POSITIONS crystal
As 0.0000 0.0000 0.0000
As 0.5000 0.5000 0.0000
Pb 0.0000 0.1691 0.5000
Pb 0.0000 0.3554 0.0000
Pb 0.0000 0.5000 0.5000
Pb 0.0000 0.6446 0.0000
Pb 0.0000 0.8309 0.5000
Pb 0.5000 0.0000 0.5000
Pb 0.5000 0.1446 0.0000
Pb 0.5000 0.3309 0.5000
Pb 0.5000 0.6691 0.5000
Pb 0.5000 0.8554 0.0000
CELL_PARAMETERS angstrom
3.7230 0.0000 0.0000
0.0000 16.5531 0.0000
0.0000 0.0000 5.4688

[13]
! Mg2CrRe | Alexandria via LeMat-Bulk | PBEsol | optimized geometry; values from VASP
! DOS(E_F): 0.571 states/eV/atom
! Symmetry: P4/mmm (123)
! Formation energy: 508 meV/atom
&SYSTEM
  ibrav = 0, nat = 4, ntyp = 3
/
ATOMIC_SPECIES
Mg 24.30 Mg.upf
Cr 52.00 Cr.upf
Re 186.21 Re.upf
ATOMIC_POSITIONS crystal
Mg 0.0000 0.5000 0.0000
Mg 0.5000 0.0000 0.0000
Cr 0.0000 0.0000 0.5000
Re 0.5000 0.5000 0.5000
CELL_PARAMETERS angstrom
3.6568 0.0000 0.0000
0.0000 3.6568 0.0000
0.0000 0.0000 4.4632

[14]
! HfTlIn3 | Alexandria via LeMat-Bulk | PBEsol | optimized geometry; values from VASP
! DOS(E_F): 1.080 states/eV/atom
! Symmetry: Pm-3m (221)
! Formation energy: 540 meV/atom
&SYSTEM
  ibrav = 0, nat = 5, ntyp = 3
/
ATOMIC_SPECIES
Hf 178.49 Hf.upf
Tl 204.38 Tl.upf
In 114.82 In.upf
ATOMIC_POSITIONS crystal
Hf 0.0000 0.0000 0.0000
Tl 0.5000 0.5000 0.5000
In 0.0000 0.0000 0.5000
In 0.0000 0.5000 0.0000
In 0.5000 0.0000 0.0000
CELL_PARAMETERS angstrom
5.5051 0.0000 0.0000
0.0000 5.5051 0.0000
0.0000 0.0000 5.5051